# LiGaSn2Br PBE-GGA optimized geometry
# **Calculated density**: 3.7 g/cm³
# **Spin magnetization**: 0.00 μB per atom
# **Electronic total energy**: -12.58 eV/cell
# **DOS(E_F)**: 3.5 states/eV/cell
# **Crystal system**: tetragonal
data_LiGaSn2Br
_cell_length_a 5.6592
_cell_length_b 5.6592
_cell_length_c 5.5470
_cell_angle_alpha 90.00
_cell_angle_beta 90.00
_cell_angle_gamma 90.00
_symmetry_space_group_name_H-M 'P 4/m m m'
_symmetry_Int_Tables_number 123
_symmetry_space_group_name_Hall '-P 4 2'
loop_
_atom_site_label
_atom_site_type_symbol
_atom_site_fract_x
_atom_site_fract_y
_atom_site_fract_z
_atom_site_occupancy
Li1 Li 0.0000 0.0000 0.0000 1
Ga1 Ga 0.5000 0.5000 0.0000 1
Sn1 Sn 0.0000 0.5000 0.5000 1
Br1 Br 0.5000 0.5000 0.5000 1